Record 1
CeFeH | GGA-PBE | optimized geometry

Output
Raw total energy   -5.977 eV per atom
Crystal system   tetragonal
DOS(E_F)   1.70 states/eV/atom

CIF file:
```
data_CeFeH
_chemical_formula_sum 'Ce4 Fe4 H4'
_symmetry_space_group_name_H-M 'I 4/m m m'
_symmetry_Int_Tables_number 139
_symmetry_space_group_name_Hall '-I 4 2'
_cell_length_a 3.3929
_cell_length_b 3.3929
_cell_length_c 15.2857
_cell_angle_alpha 90.00
_cell_angle_beta 90.00
_cell_angle_gamma 90.00
loop_
_atom_site_label
_atom_site_type_symbol
_atom_site_fract_x
_atom_site_fract_y
_atom_site_fract_z
Ce1 Ce 0.0000 0.0000 0.1523
Fe1 Fe 0.0000 0.5000 0.0000
H1 H 0.0000 0.0000 0.3076
```

Record 2
CeFeH3 | GGA-PBE | optimized geometry

Output
Raw total energy   -5.216 eV per atom
Crystal system   cubic
DOS(E_F)   0.93 states/eV/atom

CIF file:
```
data_CeFeH3
_chemical_formula_sum 'Ce1 Fe1 H3'
_symmetry_space_group_name_H-M 'P m -3 m'
_symmetry_Int_Tables_number 221
_symmetry_space_group_name_Hall '-P 4 2 3'
_cell_length_a 3.5911
_cell_length_b 3.5911
_cell_length_c 3.5911
_cell_angle_alpha 90.00
_cell_angle_beta 90.00
_cell_angle_gamma 90.00
loop_
_atom_site_label
_atom_site_type_symbol
_atom_site_fract_x
_atom_site_fract_y
_atom_site_fract_z
Ce1 Ce 0.0000 0.0000 0.0000
Fe1 Fe 0.5000 0.5000 0.5000
H1 H 0.0000 0.5000 0.5000
```

Record 3
CeFe2H7 | GGA-PBE | optimized geometry

Output
Raw total energy   -4.801 eV per atom
Crystal system   orthorhombic
DOS(E_F)   0.52 states/eV/atom

CIF file:
```
data_CeFe2H7
_chemical_formula_sum 'Ce2 Fe4 H14'
_symmetry_space_group_name_H-M 'C m m m'
_symmetry_Int_Tables_number 65
_symmetry_space_group_name_Hall '-C 2 2'
_cell_length_a 5.0136
_cell_length_b 8.3009
_cell_length_c 3.5282
_cell_angle_alpha 90.00
_cell_angle_beta 90.00
_cell_angle_gamma 90.00
loop_
_atom_site_label
_atom_site_type_symbol
_atom_site_fract_x
_atom_site_fract_y
_atom_site_fract_z
Ce1 Ce 0.0000 0.0000 0.0000
Fe1 Fe 0.0000 0.3061 0.5000
H1 H 0.0000 0.3096 0.0000
H2 H 0.0000 0.5000 0.5000
H3 H 0.1866 0.1438 0.5000
```

Among the records above, which one has the highest raw total energy? CeFe2H7

Among the records above, which one has the lowest DOS(E_F)? CeFe2H7

Repeat the first record exactly.
CeFeH | GGA-PBE | optimized geometry

Output
Raw total energy   -5.977 eV per atom
Crystal system   tetragonal
DOS(E_F)   1.70 states/eV/atom

CIF file:
```
data_CeFeH
_chemical_formula_sum 'Ce4 Fe4 H4'
_symmetry_space_group_name_H-M 'I 4/m m m'
_symmetry_Int_Tables_number 139
_symmetry_space_group_name_Hall '-I 4 2'
_cell_length_a 3.3929
_cell_length_b 3.3929
_cell_length_c 15.2857
_cell_angle_alpha 90.00
_cell_angle_beta 90.00
_cell_angle_gamma 90.00
loop_
_atom_site_label
_atom_site_type_symbol
_atom_site_fract_x
_atom_site_fract_y
_atom_site_fract_z
Ce1 Ce 0.0000 0.0000 0.1523
Fe1 Fe 0.0000 0.5000 0.0000
H1 H 0.0000 0.0000 0.3076
```

Among the records above, which one has the highest DOS(E_F)? CeFeH